1.
# AlZn2Bi

AlZn2Bi after structural relaxation (PBEsol, Alexandria).

Formation energy in meV per atom: 264
DOS at the Fermi energy in states/eV per atom: 0.488
Energy in eV per atom: -2.62
Total magnetic moment in μB per formula unit: 0.0

The structure in CIF format:
```
data_AlZn2Bi
_chemical_formula_sum 'Al4 Zn8 Bi4'
_cell_length_a 6.8820
_cell_length_b 6.8820
_cell_length_c 6.8820
_cell_angle_alpha 90.00
_cell_angle_beta 90.00
_cell_angle_gamma 90.00
_symmetry_space_group_name_H-M 'F m -3 m'
_symmetry_Int_Tables_number 225
_symmetry_space_group_name_Hall '-F 4 2 3'
loop_
_atom_site_label
_atom_site_type_symbol
_atom_site_fract_x
_atom_site_fract_y
_atom_site_fract_z
Al1 Al 0.0000 0.0000 0.0000
Zn1 Zn 0.2500 0.2500 0.2500
Bi1 Bi 0.0000 0.0000 0.5000
```

=====

2.
# ZrNbFe4

ZrNbFe4 after structural relaxation (PBEsol, Alexandria).

Formation energy in meV per atom: -208
Distance to the lowest polymorph of the same formula in meV per atom: 0
DOS at the Fermi energy in states/eV per atom: 1.212
Energy in eV per atom: -9.50
Total magnetic moment in μB per formula unit: 3.2

The structure in CIF format:
```
data_ZrNbFe4
_chemical_formula_sum 'Zr2 Nb2 Fe8'
_cell_length_a 4.7722
_cell_length_b 4.7722
_cell_length_c 7.9048
_cell_angle_alpha 90.00
_cell_angle_beta 90.00
_cell_angle_gamma 120.00
_symmetry_space_group_name_H-M 'P -3 m 1'
_symmetry_Int_Tables_number 164
_symmetry_space_group_name_Hall '-P 3 2"'
loop_
_atom_site_label
_atom_site_type_symbol
_atom_site_fract_x
_atom_site_fract_y
_atom_site_fract_z
Zr1 Zr 0.3333 0.6667 0.0693
Nb1 Nb 0.3333 0.6667 0.4415
Fe1 Fe 0.0000 0.0000 0.0000
Fe2 Fe 0.0000 0.0000 0.5000
Fe3 Fe 0.1684 0.3367 0.7439
```

=====

3.
# FeIrC2

FeIrC2 after structural relaxation (PBEsol, Alexandria).

Formation energy in meV per atom: 1184
DOS at the Fermi energy in states/eV per atom: 0.553
Energy in eV per atom: -8.34
Total magnetic moment in μB per formula unit: 0.0

The structure in CIF format:
```
data_FeIrC2
_chemical_formula_sum 'Fe4 Ir4 C8'
_cell_length_a 5.1574
_cell_length_b 5.1574
_cell_length_c 5.1574
_cell_angle_alpha 90.00
_cell_angle_beta 90.00
_cell_angle_gamma 90.00
_symmetry_space_group_name_H-M 'F m -3 m'
_symmetry_Int_Tables_number 225
_symmetry_space_group_name_Hall '-F 4 2 3'
loop_
_atom_site_label
_atom_site_type_symbol
_atom_site_fract_x
_atom_site_fract_y
_atom_site_fract_z
Fe1 Fe 0.0000 0.0000 0.0000
Ir1 Ir 0.0000 0.0000 0.5000
C1 C 0.2500 0.2500 0.2500
```

=====

4.
# Mo3W

Mo3W after structural relaxation (PBEsol, Alexandria).

Formation energy in meV per atom: -2
Distance to the lowest polymorph of the same formula in meV per atom: 1
DOS at the Fermi energy in states/eV per atom: 0.534
Energy in eV per atom: -12.28
Total magnetic moment in μB per formula unit: 0.0

The structure in CIF format:
```
data_Mo3W
_chemical_formula_sum 'Mo6 W2'
_cell_length_a 3.1315
_cell_length_b 4.4265
_cell_length_c 8.8748
_cell_angle_alpha 90.00
_cell_angle_beta 90.00
_cell_angle_gamma 90.00
_symmetry_space_group_name_H-M 'I m m m'
_symmetry_Int_Tables_number 71
_symmetry_space_group_name_Hall '-I 2 2'
loop_
_atom_site_label
_atom_site_type_symbol
_atom_site_fract_x
_atom_site_fract_y
_atom_site_fract_z
Mo1 Mo 0.0000 0.0000 0.0000
Mo2 Mo 0.0000 0.5000 0.2500
W1 W 0.0000 0.0000 0.5000
```

=====

5.
# Mn2BiO

Mn2BiO after structural relaxation (PBEsol, Alexandria).

DOS at the Fermi energy in states/eV per atom: 0.758
Energy in eV per atom: -6.85
ΔE_f (raw) in kJ/mol of formula units: 162
Total magnetic moment in μB per formula unit: 6.4

The structure in CIF format:
```
data_Mn2BiO
_chemical_formula_sum 'Mn8 Bi4 O4'
_cell_length_a 6.1867
_cell_length_b 6.1867
_cell_length_c 6.1867
_cell_angle_alpha 90.00
_cell_angle_beta 90.00
_cell_angle_gamma 90.00
_symmetry_space_group_name_H-M 'F m -3 m'
_symmetry_Int_Tables_number 225
_symmetry_space_group_name_Hall '-F 4 2 3'
loop_
_atom_site_label
_atom_site_type_symbol
_atom_site_fract_x
_atom_site_fract_y
_atom_site_fract_z
Mn1 Mn 0.2500 0.2500 0.2500
Bi1 Bi 0.0000 0.0000 0.0000
O1 O 0.0000 0.0000 0.5000
```

=====

6.
# TlSiTc2

TlSiTc2 after structural relaxation (PBEsol, Alexandria).

DOS at the Fermi energy in states/eV per atom: 0.742
Energy in eV per atom: -7.64
ΔE_f (raw) in kJ/mol of formula units: 33
Total magnetic moment in μB per formula unit: 0.0

The structure in CIF format:
```
data_TlSiTc2
_chemical_formula_sum 'Tl1 Si1 Tc2'
_cell_length_a 3.0063
_cell_length_b 3.0063
_cell_length_c 6.8319
_cell_angle_alpha 90.00
_cell_angle_beta 90.00
_cell_angle_gamma 90.00
_symmetry_space_group_name_H-M 'P 4/m m m'
_symmetry_Int_Tables_number 123
_symmetry_space_group_name_Hall '-P 4 2'
loop_
_atom_site_label
_atom_site_type_symbol
_atom_site_fract_x
_atom_site_fract_y
_atom_site_fract_z
Tl1 Tl 0.0000 0.0000 0.0000
Si1 Si 0.0000 0.0000 0.5000
Tc1 Tc 0.5000 0.5000 0.3073
```

=====

7.
# Ba2CrOs

Ba2CrOs after structural relaxation (PBEsol, Alexandria).

Formation energy in meV per atom: 1238
Distance to the lowest polymorph of the same formula in meV per atom: 796
DOS at the Fermi energy in states/eV per atom: 1.233
Energy in eV per atom: -5.45
Total magnetic moment in μB per formula unit: 4.1

The structure in CIF format:
```
data_Ba2CrOs
_chemical_formula_sum 'Ba2 Cr1 Os1'
_cell_length_a 4.9462
_cell_length_b 4.9462
_cell_length_c 4.3989
_cell_angle_alpha 90.00
_cell_angle_beta 90.00
_cell_angle_gamma 90.00
_symmetry_space_group_name_H-M 'P 4/m m m'
_symmetry_Int_Tables_number 123
_symmetry_space_group_name_Hall '-P 4 2'
loop_
_atom_site_label
_atom_site_type_symbol
_atom_site_fract_x
_atom_site_fract_y
_atom_site_fract_z
Ba1 Ba 0.0000 0.5000 0.0000
Cr1 Cr 0.0000 0.0000 0.5000
Os1 Os 0.5000 0.5000 0.5000
```

=====

8.
# ScB2

ScB2 after structural relaxation (PBEsol, Alexandria).

Formation energy in meV per atom: -902
DOS at the Fermi energy in states/eV per atom: 0.329
Energy in eV per atom: -7.78
Total magnetic moment in μB per formula unit: 0.0

The structure in CIF format:
```
data_ScB2
_chemical_formula_sum 'Sc1 B2'
_cell_length_a 3.1273
_cell_length_b 3.1273
_cell_length_c 3.4907
_cell_angle_alpha 90.00
_cell_angle_beta 90.00
_cell_angle_gamma 120.00
_symmetry_space_group_name_H-M 'P 6/m m m'
_symmetry_Int_Tables_number 191
_symmetry_space_group_name_Hall '-P 6 2'
loop_
_atom_site_label
_atom_site_type_symbol
_atom_site_fract_x
_atom_site_fract_y
_atom_site_fract_z
Sc1 Sc 0.0000 0.0000 0.0000
B1 B 0.3333 0.6667 0.5000
```

=====

9.
# LaGdCu4Sn4

LaGdCu4Sn4 after structural relaxation (PBEsol, Alexandria).

Formation energy in meV per atom: -445
DOS at the Fermi energy in states/eV per atom: 0.395
Energy in eV per atom: -5.86
Total magnetic moment in μB per formula unit: 7.0

The structure in CIF format:
```
data_LaGdCu4Sn4
_chemical_formula_sum 'La1 Gd1 Cu4 Sn4'
_cell_length_a 4.3938
_cell_length_b 4.3938
_cell_length_c 10.5401
_cell_angle_alpha 90.00
_cell_angle_beta 90.00
_cell_angle_gamma 90.00
_symmetry_space_group_name_H-M 'P 4 m m'
_symmetry_Int_Tables_number 99
loop_
_symmetry_equiv_pos_as_xyz
'x,y,z'
'-y,x,z'
'-x,-y,z'
'y,-x,z'
'-x,y,z'
'y,x,z'
'x,-y,z'
'-y,-x,z'
loop_
_atom_site_label
_atom_site_type_symbol
_atom_site_fract_x
_atom_site_fract_y
_atom_site_fract_z
La1 La 0.0000 0.0000 0.0000
Gd1 Gd 0.5000 0.5000 0.4788
Cu1 Cu 0.0000 0.0000 0.6064
Cu2 Cu 0.0000 0.5000 0.2461
Cu3 Cu 0.5000 0.5000 0.8795
Sn1 Sn 0.0000 0.0000 0.3720
Sn2 Sn 0.0000 0.5000 0.7395
Sn3 Sn 0.5000 0.5000 0.1182
```

=====

10.
# CdAsAu2

CdAsAu2 after structural relaxation (PBEsol, Alexandria).

Formation energy in meV per atom: 33
Distance to the lowest polymorph of the same formula in meV per atom: 0
DOS at the Fermi energy in states/eV per atom: 0.352
Energy in eV per atom: -3.51
Total magnetic moment in μB per formula unit: 0.0

The structure in CIF format:
```
data_CdAsAu2
_chemical_formula_sum 'Cd1 As1 Au2'
_cell_length_a 4.2122
_cell_length_b 4.2122
_cell_length_c 4.0609
_cell_angle_alpha 90.00
_cell_angle_beta 90.00
_cell_angle_gamma 90.00
_symmetry_space_group_name_H-M 'P 4/m m m'
_symmetry_Int_Tables_number 123
_symmetry_space_group_name_Hall '-P 4 2'
loop_
_atom_site_label
_atom_site_type_symbol
_atom_site_fract_x
_atom_site_fract_y
_atom_site_fract_z
Cd1 Cd 0.0000 0.0000 0.0000
As1 As 0.5000 0.5000 0.0000
Au1 Au 0.0000 0.5000 0.5000
```

=====

11.
# Cs2SiP2

Cs2SiP2 after structural relaxation (PBEsol, Alexandria).

Energy in eV per atom: -4.35
ΔE_f (raw) in kJ/mol of formula units: -243
Total magnetic moment in μB per formula unit: 0.0

The structure in CIF format:
```
data_Cs2SiP2
_chemical_formula_sum 'Cs8 Si4 P8'
_cell_length_a 7.3907
_cell_length_b 14.0700
_cell_length_c 6.1499
_cell_angle_alpha 90.00
_cell_angle_beta 90.00
_cell_angle_gamma 90.00
_symmetry_space_group_name_H-M 'I b a m'
_symmetry_Int_Tables_number 72
_symmetry_space_group_name_Hall '-I 2 2c'
loop_
_atom_site_label
_atom_site_type_symbol
_atom_site_fract_x
_atom_site_fract_y
_atom_site_fract_z
Cs1 Cs 0.1669 0.1472 0.0000
Si1 Si 0.0000 0.5000 0.2500
P1 P 0.1531 0.4113 0.0000
```

=====

12.
# Tl3RhCl

Tl3RhCl after structural relaxation (PBEsol, Alexandria).

Distance to the lowest polymorph of the same formula in meV per atom: 1126
DOS at the Fermi energy in states/eV per atom: 1.846
Energy in eV per atom: -2.80
ΔE_f (raw) in kJ/mol of formula units: 391
Total magnetic moment in μB per formula unit: 1.1

The structure in CIF format:
```
data_Tl3RhCl
_chemical_formula_sum 'Tl3 Rh1 Cl1'
_cell_length_a 5.4910
_cell_length_b 5.4910
_cell_length_c 5.4910
_cell_angle_alpha 90.00
_cell_angle_beta 90.00
_cell_angle_gamma 90.00
_symmetry_space_group_name_H-M 'P m -3 m'
_symmetry_Int_Tables_number 221
_symmetry_space_group_name_Hall '-P 4 2 3'
loop_
_atom_site_label
_atom_site_type_symbol
_atom_site_fract_x
_atom_site_fract_y
_atom_site_fract_z
Tl1 Tl 0.0000 0.0000 0.5000
Rh1 Rh 0.5000 0.5000 0.5000
Cl1 Cl 0.0000 0.0000 0.0000
```

=====

13.
# LaCd2In

LaCd2In after structural relaxation (PBEsol, Alexandria).

Formation energy in meV per atom: -346
DOS at the Fermi energy in states/eV per atom: 0.364
Energy in eV per atom: -3.03
Total magnetic moment in μB per formula unit: 0.0

The structure in CIF format:
```
data_LaCd2In
_chemical_formula_sum 'La4 Cd8 In4'
_cell_length_a 7.3277
_cell_length_b 7.3277
_cell_length_c 7.3277
_cell_angle_alpha 90.00
_cell_angle_beta 90.00
_cell_angle_gamma 90.00
_symmetry_space_group_name_H-M 'F -4 3 m'
_symmetry_Int_Tables_number 216
_symmetry_space_group_name_Hall 'F -4 2 3'
loop_
_atom_site_label
_atom_site_type_symbol
_atom_site_fract_x
_atom_site_fract_y
_atom_site_fract_z
La1 La 0.0000 0.0000 0.0000
Cd1 Cd 0.0000 0.0000 0.5000
Cd2 Cd 0.2500 0.2500 0.2500
In1 In 0.2500 0.2500 0.7500
```